one.
## TiBe3Ag (PBE)

Data for a geometry-optimized TiBe3Ag structure.

abc: 4.1890 4.1890 4.1890
angles: 90.00 90.00 90.00
Last column: nearest neighbours and their distance in Å.
Sites, in units of the cell vectors:
Ti 0.5000 0.5000 0.5000  12 Be 2.96
Be 0.5000 0.0000 0.0000  2 Ag 2.09
Be 0.0000 0.0000 0.5000  2 Ag 2.09
Be 0.0000 0.5000 0.0000  2 Ag 2.09
Ag 0.0000 0.0000 0.0000  6 Be 2.09

Values from the calculation:
SG = No. 221
total moment = 0.001 μB per atom



two.
## TiBe3Ag (PBE)

Data for a geometry-optimized TiBe3Ag structure.

abc: 4.4711 4.4711 4.4711
angles: 90.00 90.00 90.00
Last column: nearest neighbours and their distance in Å.
Sites, in units of the cell vectors:
Be 0.0000 0.5000 0.0000  2 Ti 2.24
Be 0.0000 0.0000 0.5000  2 Ti 2.24
Be 0.5000 0.0000 0.0000  2 Ti 2.24
Ti 0.0000 0.0000 0.0000  6 Be 2.24
Ag 0.5000 0.5000 0.5000  12 Be 3.16

Values from the calculation:
SG = No. 221
total moment = 0.316 μB per atom



Taking the most stable structure as the zero point, the relative energies in eV/atom are one 0.000; two 0.854.



one.
## Ti2BeAg (PBE)

Data for a geometry-optimized Ti2BeAg structure.

abc: 3.5864 3.5864 10.2408
angles: 79.92 79.92 90.00
Last column: nearest neighbours and their distance in Å.
Sites, in units of the cell vectors:
Ag 0.0000 0.0000 0.0000  4 Be 2.54, 4 Ti 2.80
Ag 0.7500 0.2500 0.5000  4 Be 2.54, 4 Ti 2.80
Be 0.5000 0.5000 0.0000  4 Ag 2.54, 4 Ti 2.78
Be 0.2500 0.7500 0.5000  4 Ag 2.54, 4 Ti 2.78
Ti 0.8750 0.8665 0.7500  4 Ti 2.49-2.58, 2 Be 2.78
Ti 0.6165 0.1250 0.2500  4 Ti 2.49-2.58, 2 Be 2.78
Ti 0.1335 0.6250 0.2500  4 Ti 2.49-2.58, 2 Be 2.78
Ti 0.3750 0.3835 0.7500  4 Ti 2.49-2.58, 2 Be 2.78

Values from the calculation:
SG = No. 122
total moment = 0.000 μB per atom



two.
## Ti2BeAg (PBE)

Data for a geometry-optimized Ti2BeAg structure.

abc: 4.4580 4.4580 4.4580
angles: 60.00 60.00 60.00
Last column: nearest neighbours and their distance in Å.
Sites, in units of the cell vectors:
Ti 0.7500 0.7500 0.7500  4 Be 2.73, 4 Ag 2.73
Ti 0.2500 0.2500 0.2500  4 Be 2.73, 4 Ag 2.73
Be 0.0000 0.0000 0.0000  8 Ti 2.73
Ag 0.5000 0.5000 0.5000  8 Ti 2.73

Values from the calculation:
SG = No. 225
total moment = 0.359 μB per atom



Taking the most stable structure as the zero point, the relative energies in eV/atom are one 0.355; two 0.000.